1.
This record from the Alexandria database describes a relaxed InGeAu2 crystal. The functional is GGA-PBE.

Cell: 4.8446 4.8446 4.8446 Å, 60.00 60.00 60.00°
Fractional coordinates of all 4 atoms:
In1 0.5000 0.5000 0.5000
Au1 0.2500 0.2500 0.2500
Au2 0.7500 0.7500 0.7500
Ge1 0.0000 0.0000 0.0000

**Electronic total energy**: -13.701 eV per formula unit
**Magnetic moment**: 0.00 μB per cell
**Space-group type**: No. 225
**Formation enthalpy at 0 K**: 0.052 eV per atom



2.
This record from the Alexandria database describes a relaxed TlPb crystal. The functional is GGA-PBE.

Cell: 3.5015 3.5015 6.2102 Å, 73.63 73.63 60.00°
Fractional coordinates of all 2 atoms:
Pb1 0.0000 0.0000 0.0000
Tl1 0.5000 0.5000 0.5000

**Electronic total energy**: -6.066 eV per formula unit
**Magnetic moment**: 0.00 μB per cell
**Space-group type**: No. 166
**Formation enthalpy at 0 K**: 0.004 eV per atom



3.
This record from the Alexandria database describes a relaxed La4OsI2O crystal. The functional is GGA-PBE.

Cell: 4.1155 6.9240 8.4848 Å, 106.69 90.00 90.00°
Fractional coordinates of all 8 atoms:
La1 0.5000 0.7862 0.8228
La2 0.5000 0.2138 0.1772
La3 0.0000 0.7490 0.1828
La4 0.0000 0.2510 0.8172
Os1 0.5000 0.5000 0.0000
I1 0.5000 0.0000 0.5000
I2 0.0000 0.5000 0.5000
O1 0.0000 0.0000 0.0000

**E_form (uncorrected)**: -1.258 eV per atom
**Electronic total energy**: -49.064 eV per formula unit
**Magnetic moment**: 0.00 μB per cell
**Space-group type**: No. 10